[1]
Computed, not measured: a relaxed TaZn2In crystal at the PBEsol level of DFT.

Calculated values
V ... 68.2 Å³/cell
Theoretical density ... 10.4 g/cm3
DFT formation energy ... 0.164 eV per atom
Size of the total moment ... 0.0 μB/f.u.
N(E_F) ... 0.445 states/eV per atom

```
TaZn2In
1.0
2.821 -0.014 0.000
-0.287 5.167 0.000
-1.267 -2.577 4.680
In Ta Zn
1 1 2
direct
0.000 0.500 0.000
0.500 0.000 0.000
0.500 0.500 0.500
0.000 0.000 0.500
```

[2]
Computed, not measured: a relaxed TlPCl3 crystal at the PBEsol level of DFT.

Calculated values
ΔE_f (raw) ... -0.65 eV per atom
V ... 1174.7 Å³/cell
Theoretical density ... 3.9 g/cm3
Size of the total moment ... 0.0 μB/f.u.
N(E_F) ... 0.106 states/eV per atom

```
TlPCl3
1.0
4.996 0.000 0.000
0.000 10.522 0.000
0.000 0.000 22.347
Cl P Tl
24 8 8
direct
0.750 0.127 0.001
0.250 0.873 0.499
0.750 0.627 0.999
0.250 0.373 0.501
0.250 0.873 0.999
0.750 0.127 0.501
0.250 0.373 0.001
0.750 0.627 0.499
0.253 0.125 0.273
0.753 0.875 0.227
0.247 0.625 0.727
0.747 0.375 0.773
0.747 0.875 0.727
0.247 0.125 0.773
0.753 0.375 0.273
0.253 0.625 0.227
0.753 0.384 0.129
0.253 0.616 0.371
0.747 0.884 0.871
0.247 0.116 0.629
0.247 0.616 0.871
0.747 0.384 0.629
0.253 0.116 0.129
0.753 0.884 0.371
0.753 0.259 0.199
0.253 0.741 0.301
0.747 0.759 0.801
0.247 0.241 0.699
0.247 0.741 0.801
0.747 0.259 0.699
0.253 0.241 0.199
0.753 0.759 0.301
0.750 0.389 0.434
0.250 0.611 0.066
0.750 0.889 0.566
0.250 0.111 0.934
0.250 0.611 0.566
0.750 0.389 0.934
0.250 0.111 0.434
0.750 0.889 0.066
```